Record 1
Cd2WCl: optimized geometry, PBE.

Unit cell a=8.0896 b=8.0896 c=5.6321 alpha=90.00 beta=90.00 gamma=90.00
Closest atoms and distances in Å follow each position.
Space group I-42d (No. 122)
Asymmetric unit:
Cd 0.2419 0.2500 0.1250 [8 per cell]  2 Cd 2.82, 2 W 2.90, 2 Cl 2.99
W 0.0000 0.0000 0.0000 [4 per cell]  2 Cl 2.82, 4 Cd 2.90
Cl 0.0000 0.0000 0.5000 [4 per cell]  2 W 2.82, 4 Cd 2.99

Excess energy over the best structure of this formula in the dataset   816 meV/atom
E_form (uncorrected)   953.4 meV/atom

=====

Record 2
Ce4ZnSn: optimized geometry, PBE.

Unit cell a=5.0986 b=6.0218 c=9.1892 alpha=90.00 beta=90.00 gamma=90.00
Closest atoms and distances in Å follow each position.
Space group Immm (No. 71)
Asymmetric unit:
Ce 0.0000 0.2419 0.1730 [8 per cell]  5 Ce 2.91-3.18
Zn 0.0000 0.5000 0.5000 [2 per cell]  2 Sn 3.01, 8 Ce 3.34
Sn 0.0000 0.0000 0.5000 [2 per cell]  2 Zn 3.01, 4 Ce 3.34

Energy of formation from the pure elements   -224 meV per atom

=====

Record 3
LaAuCl: optimized geometry, PBE.

Unit cell a=3.6232 b=3.6232 c=13.6945 alpha=90.00 beta=90.00 gamma=90.00
Closest atoms and distances in Å follow each position.
Space group I4mm (No. 107)
Asymmetric unit:
La 0.0000 0.0000 0.0000 [2 per cell]  4 Cl 3.02, 4 Au 3.16
Au 0.0000 0.0000 0.6357 [2 per cell]  4 La 3.16, 1 Cl 3.46
Cl 0.0000 0.0000 0.3830 [2 per cell]  4 La 3.02

Excess energy over the best structure of this formula in the dataset   256 meV/atom
E_form (uncorrected)   -1146.7 meV/atom

=====

Record 4
UFe4Re: optimized geometry, PBE.

Unit cell a=6.8818 b=6.8818 c=6.8818 alpha=90.00 beta=90.00 gamma=90.00
Closest atoms and distances in Å follow each position.
Space group F-43m (No. 216)
Asymmetric unit:
U 0.0000 0.0000 0.0000 [4 per cell]  12 Fe 2.86, 4 Re 2.98
Fe 0.1236 0.1236 0.3764 [16 per cell]  6 Fe 2.41-2.46
Re 0.2500 0.2500 0.7500 [4 per cell]  12 Fe 2.85, 4 U 2.98

Energy of formation from the pure elements   121 meV per atom

=====

Record 5
NaSc2Al: optimized geometry, PBE.

Unit cell a=3.2491 b=3.2491 c=33.0910 alpha=90.00 beta=90.00 gamma=120.00
Closest atoms and distances in Å follow each position.
Space group R-3m (No. 166, hexagonal axes)
Asymmetric unit:
Na 0.0000 0.0000 0.0000 [3 per cell]  6 Na 3.25, 2 Sc 3.32
Sc 0.0000 0.0000 0.1002 [6 per cell]  3 Al 2.89
Al 0.0000 0.0000 0.5000 [3 per cell]  6 Sc 2.89

Energy of formation from the pure elements   84 meV per atom

=====

Record 6
GaPtN3: optimized geometry, PBE.

Unit cell a=3.8226 b=3.8226 c=3.8226 alpha=90.00 beta=90.00 gamma=90.00
Closest atoms and distances in Å follow each position.
Space group Pm-3m (No. 221)
Asymmetric unit:
Ga 0.0000 0.0000 0.0000 [1 per cell]  6 N 1.91
Pt 0.5000 0.5000 0.5000 [1 per cell]  12 N 2.70
N 0.0000 0.0000 0.5000 [3 per cell]  2 Ga 1.91

E_form (uncorrected)   1971.5 meV/atom

=====

Record 7
KNiAgBr6: optimized geometry, PBE.

Unit cell a=6.9311 b=6.9381 c=7.1561 alpha=90.08 beta=90.16 gamma=119.75
Closest atoms and distances in Å follow each position.
Space group P1 (No. 1)
Asymmetric unit:
K 0.0000 0.0000 0.0000 [1 per cell]  6 Br 3.38-3.39
Ni 0.6666 0.3336 0.4999 [1 per cell]  6 Br 2.44-2.45
Ag 0.3330 0.6675 0.5001 [1 per cell]  6 Br 2.78-2.81
Br 0.3962 0.0386 0.7017 [1 per cell]  1 Ni 2.45
Br 0.3965 0.3594 0.2969 [1 per cell]  1 Ni 2.44
Br 0.6407 0.6040 0.7024 [1 per cell]  1 Ni 2.44
Br 0.6422 0.0391 0.2969 [1 per cell]  1 Ni 2.44
Br 0.9612 0.3584 0.7034 [1 per cell]  1 Ni 2.44
Br 0.9621 0.6039 0.2982 [1 per cell]  1 Ni 2.45

E_form (uncorrected)   -522.1 meV/atom

=====

Record 8
Pm2Nd6Dy5: optimized geometry, PBE.

Unit cell a=11.8356 b=20.6231 c=3.6509 alpha=90.00 beta=90.00 gamma=90.00
Closest atoms and distances in Å follow each position.
Space group Pbam (No. 55)
Asymmetric unit:
Pm 0.1676 0.2143 0.0000 [4 per cell]  3 Nd 3.41-3.71, 6 Dy 3.58-3.76, 2 Pm 3.65
Nd 0.0595 0.9220 0.0000 [4 per cell]  5 Nd 3.51-3.77, 6 Dy 3.53-3.70, 1 Pm 3.89
Nd 0.0801 0.6344 0.0000 [4 per cell]  1 Pm 3.41, 6 Dy 3.45-3.58, 4 Nd 3.55-3.65
Nd 0.1769 0.3706 0.5000 [4 per cell]  2 Dy 3.35-3.39, 4 Nd 3.55-3.65, 2 Pm 3.71
Dy 0.0000 0.5000 0.5000 [2 per cell]  6 Nd 3.39-3.45, 4 Dy 3.65-3.74
Dy 0.0922 0.7765 0.5000 [4 per cell]  5 Nd 3.35-3.53, 4 Pm 3.58-3.61, 2 Dy 3.65
Dy 0.1992 0.0558 0.5000 [4 per cell]  6 Nd 3.58-3.70, 3 Dy 3.65-3.74, 2 Pm 3.76

Energy of formation from the pure elements   99 meV per atom

=====

How do the records compare in size of the total moment? In the order shown, they have 3.3 1.5 0.0 6.5 0.0 0.0 0.2 0.0 μB per formula unit.